1.
The following is a DFT calculation (PBE) of an optimized crystal structure of LaY2Hg.

## Properties
Energy of formation   -150 meV per atom
DFT total energy   -4.690 eV per atom

a = 6.091 Å, b = 6.091 Å, c = 6.091 Å
α = 133.54°, β = 133.54°, γ = 67.81°
Positions (direct):
La 0.000 0.000 0.000
Y 0.250 0.750 0.500
Y 0.500 0.500 0.000
Hg 0.750 0.250 0.500

2.
The following is a DFT calculation (PBE) of an optimized crystal structure of La5YHg6.

## Properties
Energy of formation   -496 meV per atom
DFT total energy   -3.239 eV per atom

a = 5.457 Å, b = 7.807 Å, c = 8.670 Å
α = 90.00°, β = 108.27°, γ = 90.00°
Positions (direct):
La 0.000 0.000 0.000
La 0.330 0.000 0.659
La 0.333 0.500 0.666
La 0.667 0.500 0.334
La 0.670 0.000 0.341
Y 0.000 0.500 0.000
Hg 0.161 0.257 0.321
Hg 0.161 0.743 0.321
Hg 0.500 0.261 0.000
Hg 0.500 0.739 0.000
Hg 0.839 0.257 0.679
Hg 0.839 0.743 0.679

3.
The following is a DFT calculation (PBE) of an optimized crystal structure of La3YHg4.

## Properties
Energy of formation   -496 meV per atom
DFT total energy   -3.303 eV per atom

a = 3.835 Å, b = 3.835 Å, c = 15.695 Å
α = 90.00°, β = 90.00°, γ = 90.00°
Positions (direct):
La 0.000 0.000 0.000
La 0.000 0.000 0.257
La 0.000 0.000 0.743
Y 0.000 0.000 0.500
Hg 0.500 0.500 0.127
Hg 0.500 0.500 0.389
Hg 0.500 0.500 0.611
Hg 0.500 0.500 0.873